{"formula": "MgAl2Hg", "functional": "PBE", "state": "relaxed", "n_ef_per_ev_cell": 1.6, "e_above_lowest_polymorph_mev_per_atom": 167.0, "formation_enthalpy_0k_ev_per_atom": 0.1813, "lattice_angstrom": [[0.0000, 3.4400, 3.4400], [3.4400, 0.0000, 3.4400], [3.4400, 3.4400, 0.0000]], "species": ["Mg", "Al", "Al", "Hg"], "fractional_positions": [[0.0000, 0.0000, 0.0000], [0.2500, 0.2500, 0.2500], [0.7500, 0.7500, 0.7500], [0.5000, 0.5000, 0.5000]]}

---

{"formula": "MgAl2Hg", "functional": "PBE", "state": "relaxed", "n_ef_per_ev_cell": 1.2, "e_above_lowest_polymorph_mev_per_atom": 20.9, "formation_enthalpy_0k_ev_per_atom": 0.0352, "lattice_angstrom": [[3.0739, -2.9867, 0.0000], [3.0739, 2.9867, 0.0000], [-2.9344, 0.0000, 4.2199]], "species": ["Mg", "Al", "Al", "Hg"], "fractional_positions": [[0.0000, 0.0000, 0.0000], [0.2506, 0.7494, 0.5000], [0.4989, 0.5011, 0.0000], [0.7505, 0.2495, 0.5000]]}

---

{"formula": "Mg4AlHg", "functional": "PBE", "state": "relaxed", "n_ef_per_ev_cell": 2.1, "e_above_lowest_polymorph_mev_per_atom": 220.1, "formation_enthalpy_0k_ev_per_atom": 0.1391, "lattice_angstrom": [[0.0000, 4.0771, 4.0771], [4.0771, 0.0000, 4.0771], [4.0771, 4.0771, 0.0000]], "species": ["Mg", "Mg", "Mg", "Mg", "Al", "Hg"], "fractional_positions": [[0.1247, 0.1247, 0.1247], [0.1247, 0.1247, 0.6260], [0.1247, 0.6260, 0.1247], [0.6260, 0.1247, 0.1247], [0.7500, 0.7500, 0.7500], [0.5000, 0.5000, 0.5000]]}

---

{"formula": "MgAl2Hg", "functional": "PBE", "state": "relaxed", "n_ef_per_ev_cell": 1.5, "e_above_lowest_polymorph_mev_per_atom": 44.2, "formation_enthalpy_0k_ev_per_atom": 0.0585, "lattice_angstrom": [[2.8332, -5.3151, 0.0000], [2.8332, 5.3151, 0.0000], [-1.5610, 0.0000, 2.6519]], "species": ["Mg", "Al", "Al", "Hg"], "fractional_positions": [[0.0000, 0.0000, 0.0000], [0.0000, 0.5000, 0.0000], [0.5000, 0.0000, 0.0000], [0.5000, 0.5000, 0.0000]]}

---

{"formula": "Mg2AlHg", "functional": "PBE", "state": "relaxed", "n_ef_per_ev_cell": 1.3, "e_above_lowest_polymorph_mev_per_atom": 90.9, "formation_enthalpy_0k_ev_per_atom": 0.0068, "lattice_angstrom": [[3.1188, 0.0000, 0.0000], [0.0000, 3.1188, 0.0000], [0.0000, 0.0000, 8.6451]], "species": ["Mg", "Mg", "Al", "Hg"], "fractional_positions": [[0.0000, 0.0000, 0.0000], [0.5000, 0.5000, 0.2693], [0.0000, 0.0000, 0.5070], [0.5000, 0.5000, 0.7532]]}

---

{"formula": "Mg17Al11Hg", "functional": "PBE", "state": "relaxed", "n_ef_per_ev_cell": 10.3, "formation_enthalpy_0k_ev_per_atom": -0.0390, "lattice_angstrom": [[5.2797, -7.4372, 0.0000], [5.2797, 7.4372, 0.0000], [-5.2712, 0.0000, 7.4711]], "species": ["Mg", "Mg", "Mg", "Mg", "Mg", "Mg", "Mg", "Mg", "Mg", "Mg", "Mg", "Mg", "Mg", "Mg", "Mg", "Mg", "Mg", "Al", "Al", "Al", "Al", "Al", "Al", "Al", "Al", "Al", "Al", "Al", "Hg"], "fractional_positions": [[0.0000, 0.0000, 0.0000], [0.9998, 0.3174, 0.6006], [0.0030, 0.0030, 0.3447], [0.0026, 0.6008, 0.3159], [0.2877, 0.6840, 0.6831], [0.3159, 0.6043, 0.9984], [0.3174, 0.9998, 0.6006], [0.3444, 0.9981, 0.9965], [0.3996, 0.3996, 0.7128], [0.4024, 0.7175, 0.4010], [0.6008, 0.0026, 0.3159], [0.6043, 0.3159, 0.9984], [0.6594, 0.6594, 0.6617], [0.6840, 0.2877, 0.6831], [0.6903, 0.6903, 0.2838], [0.7175, 0.4024, 0.4010], [0.9981, 0.3444, 0.9965], [0.0001, 0.8138, 0.6332], [0.1805, 0.1805, 0.8058], [0.1806, 0.3656, 0.3671], [0.1855, 0.8202, 0.1849], [0.3656, 0.1806, 0.3671], [0.6344, 0.8158, 0.0006], [0.6344, 0.9993, 0.8152], [0.8138, 0.0001, 0.6332], [0.8158, 0.6344, 0.0006], [0.8202, 0.1855, 0.1849], [0.9993, 0.6344, 0.8152], [0.3749, 0.3749, 0.1755]]}

---

Total magnetization, record by record: 0.00; 0.00; 0.00; 0.00; 0.00; 0.00 Bohr magnetons per cell